Ba3V2PbO8 after structural relaxation. Source: the Alexandria database, functional GGA+U.

Calculated values
The total energy comes out at -6.77 eV/atom.

Cell and atoms, written as POSCAR:
```
Ba3V2PbO8
1.0
5.845 0.000 0.000
-2.923 5.062 0.000
0.000 0.000 9.190
V Ba O Pb
2 3 8 1
direct
0.667 0.333 0.827
0.333 0.667 0.173
0.333 0.667 0.705
0.000 0.000 0.000
0.667 0.333 0.295
0.828 0.656 0.761
0.667 0.333 0.017
0.344 0.172 0.761
0.172 0.344 0.239
0.172 0.828 0.239
0.656 0.828 0.239
0.828 0.172 0.761
0.333 0.667 0.983
0.000 0.000 0.500
```